Entry 1:
DFT (PBE-GGA) results for a geometry-optimized BiAuS2 structure.

## Properties
Formation energy from raw total energies ... 0.0389 eV per atom
Total magnetic moment ... 0.00 μB/atom

a = 4.040 Å, b = 4.040 Å, c = 5.490 Å
α = 90.00°, β = 90.00°, γ = 90.00°
Atoms (fractional coordinates):
S 0.000 0.000 0.000
Bi 0.500 0.500 0.000
S 0.500 0.500 0.500
Au 0.000 0.000 0.500

=====

Entry 2:
DFT (PBE-GGA) results for a geometry-optimized NiTe8Pd3 structure.

## Properties
Formation energy from raw total energies ... -0.3001 eV per atom
Total magnetic moment ... 0.00 μB/atom

a = 8.091 Å, b = 8.110 Å, c = 8.771 Å
α = 134.01°, β = 90.00°, γ = 119.92°
Atoms (fractional coordinates):
Ni 0.000 0.000 0.000
Te 0.287 0.574 0.255
Te 0.193 0.905 0.744
Pd 0.500 0.500 0.000
Te 0.799 0.598 0.265
Te 0.201 0.402 0.735
Pd 0.500 0.000 0.000
Te 0.289 0.095 0.256
Pd 0.000 0.500 0.000
Te 0.807 0.095 0.256
Te 0.711 0.905 0.744
Te 0.713 0.426 0.745

=====

Entry 3:
DFT (PBE-GGA) results for a geometry-optimized Al2AgCl structure.

## Properties
Formation energy from raw total energies ... 0.1362 eV per atom
Offset from the most stable computed form ... 367 meV/atom
Total magnetic moment ... 0.00 μB/atom

a = 6.298 Å, b = 6.298 Å, c = 7.050 Å
α = 63.47°, β = 63.47°, γ = 90.00°
Atoms (fractional coordinates):
Cl 0.250 0.750 0.500
Cl 0.500 0.500 0.000
Ag 0.000 0.000 0.000
Al 0.653 0.125 0.250
Al 0.875 0.903 0.750
Ag 0.750 0.250 0.500
Al 0.097 0.625 0.250
Al 0.375 0.347 0.750

=====

Entry 4:
DFT (PBE-GGA) results for a geometry-optimized Ac6Co2AgI3 structure.

## Properties
Formation energy from raw total energies ... -0.6165 eV per atom
Total magnetic moment ... 0.00 μB/atom

a = 4.374 Å, b = 10.082 Å, c = 10.893 Å
α = 111.97°, β = 101.58°, γ = 90.00°
Atoms (fractional coordinates):
Ac 0.316 0.453 0.632
Co 0.832 0.662 0.663
I 0.500 0.500 0.000
Co 0.168 0.338 0.337
Ac 0.026 0.242 0.052
I 0.163 0.835 0.326
Ac 0.974 0.758 0.948
I 0.837 0.165 0.674
Ac 0.663 0.140 0.326
Ag 0.500 0.000 0.000
Ac 0.337 0.860 0.674
Ac 0.684 0.547 0.368

=====

Entry 5:
DFT (PBE-GGA) results for a geometry-optimized Sc3Hg2Pb structure.

## Properties
Energy relative to the elements ... -388 meV/atom
Offset from the most stable computed form ... 0 meV/atom
Total magnetic moment ... 0.06 μB/atom

a = 3.626 Å, b = 4.981 Å, c = 15.079 Å
α = 90.00°, β = 90.00°, γ = 90.00°
Site moments in Bohr magnetons follow the coordinates.
Atoms (fractional coordinates):
Sc 0.500 0.000 0.500  0.08
Sc 0.500 0.500 0.669  0.08
Hg 0.000 0.000 0.673  0.00
Sc 0.500 0.500 0.000  0.08
Sc 0.500 0.000 0.831  0.08
Pb 0.001 0.500 0.500  -0.01
Sc 0.500 0.500 0.331  0.08
Sc 0.500 0.000 0.169  0.08
Hg 0.000 0.500 0.827  0.00
Pb 0.999 0.000 0.000  -0.01
Hg 0.000 0.500 0.173  0.00
Hg 0.000 0.000 0.327  0.00

=====

Entry 6:
DFT (PBE-GGA) results for a geometry-optimized RbV2SiSb structure.

## Properties
Formation energy from raw total energies ... 0.7918 eV per atom
Total magnetic moment ... 1.32 μB/atom

a = 4.975 Å, b = 5.522 Å, c = 4.975 Å
α = 90.00°, β = 90.00°, γ = 90.00°
Site moments in Bohr magnetons follow the coordinates.
Atoms (fractional coordinates):
Rb 0.500 0.500 0.500  0.04
V 0.500 0.000 0.000  2.47
Sb 0.000 0.500 0.000  -0.15
Si 0.000 0.000 0.000  -0.09
V 0.000 0.000 0.500  2.86

=====

Look up the total magnetic moment of the fifth one.
0.06 μB/atom